# 1
Density functional theory data (PBE) for crystalline TiMn2Re at its relaxed geometry.

Properties
Space group ... I-42d (122)
Calculated formation energy ... 0.5347 eV per atom
Density of states at the Fermi level ... 16.2 states/eV per cell
Total energy ... -9.14 eV per atom

a = 6.678 Å, b = 6.678 Å, c = 5.363 Å
α = 51.49°, β = 51.49°, γ = 90.00°
Positions (direct):
Re1 0.000 0.000 0.000
Re2 0.750 0.250 0.500
Mn1 0.640 0.125 0.250
Mn2 0.110 0.625 0.250
Mn3 0.375 0.360 0.750
Mn4 0.875 0.890 0.750
Ti1 0.500 0.500 0.000
Ti2 0.250 0.750 0.500



# 2
Density functional theory data (PBE) for crystalline KPd2O at its relaxed geometry.

Properties
Space group ... I4_1/amd (141)
E_form (uncorrected) ... -0.377 eV/atom
Density of states at the Fermi level ... 1.8 states/eV per cell
Total energy ... -4.49 eV per atom

a = 5.480 Å, b = 5.480 Å, c = 7.136 Å
α = 67.42°, β = 67.42°, γ = 90.00°
Positions (direct):
K1 0.000 0.000 0.000
K2 0.750 0.250 0.500
O1 0.500 0.500 0.000
O2 0.250 0.750 0.500
Pd1 0.375 0.125 0.250
Pd2 0.375 0.625 0.250
Pd3 0.375 0.625 0.750
Pd4 0.875 0.625 0.750



# 3
Density functional theory data (PBE) for crystalline KLiScTe3 at its relaxed geometry.

Properties
Space group ... P2_1/m (11)
E_form (uncorrected) ... -1.010 eV/atom
Density of states at the Fermi level ... 5.9 states/eV per cell
Total energy ... -4.14 eV per atom

a = 4.173 Å, b = 9.612 Å, c = 10.442 Å
α = 112.83°, β = 90.00°, γ = 90.00°
Positions (direct):
K1 0.250 0.210 0.254
K2 0.750 0.790 0.746
Li1 0.250 0.077 0.604
Li2 0.750 0.923 0.396
Sc1 0.250 0.671 0.151
Sc2 0.750 0.329 0.849
Te1 0.750 0.869 0.121
Te2 0.250 0.131 0.879
Te3 0.250 0.764 0.451
Te4 0.750 0.236 0.549
Te5 0.750 0.457 0.156
Te6 0.250 0.543 0.844



# 4
Density functional theory data (PBE) for crystalline PrSnOs at its relaxed geometry.

Properties
Space group ... P-6m2 (187)
Calculated formation energy ... 0.2211 eV per atom
Density of states at the Fermi level ... 3.5 states/eV per cell
Total energy ... -6.45 eV per atom

a = 3.510 Å, b = 3.509 Å, c = 13.435 Å
α = 90.00°, β = 90.00°, γ = 120.01°
Positions (direct):
Os1 0.611 0.222 0.000
Os2 0.278 0.556 0.500
Sn1 0.611 0.223 0.363
Sn2 0.611 0.223 0.637
Pr1 0.278 0.555 0.840
Pr2 0.278 0.555 0.160



# 5
Density functional theory data (PBE) for crystalline V3CSe at its relaxed geometry.

Properties
Space group ... Pm-3m (221)
E_form (uncorrected) ... -0.043 eV/atom
Density of states at the Fermi level ... 3.5 states/eV per cell
Total energy ... -8.06 eV per atom

a = 3.997 Å, b = 3.997 Å, c = 3.997 Å
α = 90.00°, β = 90.00°, γ = 90.00°
Positions (direct):
C1 0.000 0.000 0.000
Se1 0.500 0.500 0.500
V1 0.000 0.500 0.000
V2 0.000 0.000 0.500
V3 0.500 0.000 0.000



# 6
Density functional theory data (PBE) for crystalline Ba2RhSe at its relaxed geometry.

Properties
Space group ... Cmmm (65)
E_form (uncorrected) ... -0.745 eV/atom
Density of states at the Fermi level ... 3.3 states/eV per cell
Total energy ... -4.42 eV per atom

a = 5.525 Å, b = 5.525 Å, c = 3.918 Å
α = 90.00°, β = 90.00°, γ = 85.23°
Positions (direct):
Ba1 0.000 0.000 0.000
Ba2 0.500 0.500 0.000
Rh1 0.500 0.000 0.500
Se1 0.000 0.500 0.500



- The highest total energy belongs to which entry?
  KLiScTe3